# 1
Cu5Si2Pd | PBE-GGA | relaxed

## Properties
Space-group type: Immm, No. 71
Density of states at the Fermi level (states/eV per cell): 1.8

a = 2.754 Å, b = 6.266 Å, c = 6.266 Å
α = 78.49°, β = 77.24°, γ = 77.24°
Atoms (fractional coordinates):
Cu (0.000, 0.500, 0.500)
Cu (0.365, 0.414, 0.856)
Cu (0.635, 0.586, 0.144)
Cu (0.635, 0.144, 0.586)
Cu (0.365, 0.856, 0.414)
Si (0.264, 0.236, 0.236)
Si (0.736, 0.764, 0.764)
Pd (0.000, 0.000, 0.000)



# 2
CuSiPd2 | PBE-GGA | relaxed

## Properties
Space-group type: P4/mmm, No. 123
Density of states at the Fermi level (states/eV per cell): 1.2

a = 2.914 Å, b = 2.914 Å, c = 6.555 Å
α = 90.00°, β = 90.00°, γ = 90.00°
Atoms (fractional coordinates):
Si (0.500, 0.500, 0.000)
Cu (0.500, 0.500, 0.500)
Pd (0.000, 0.000, 0.774)
Pd (0.000, 0.000, 0.226)



# 3
Cu2SiPd3 | PBE-GGA | relaxed

## Properties
Space-group type: Cmmm, No. 65
Density of states at the Fermi level (states/eV per cell): 4.2

a = 4.065 Å, b = 6.496 Å, c = 6.578 Å
α = 90.00°, β = 90.01°, γ = 71.77°
Atoms (fractional coordinates):
Cu (0.000, 0.000, 0.000)
Cu (0.000, 0.000, 0.500)
Cu (0.331, 0.339, 0.500)
Cu (0.669, 0.661, 0.500)
Si (0.347, 0.306, 0.000)
Si (0.653, 0.694, 0.000)
Pd (0.829, 0.343, 0.775)
Pd (0.500, 0.000, 0.250)
Pd (0.171, 0.657, 0.225)
Pd (0.828, 0.343, 0.225)
Pd (0.172, 0.657, 0.775)
Pd (0.500, 0.000, 0.750)



no.,M_tot (μB per cell),calculated volume (Å³/atom),raw formation energy (meV per atom)
1,0.000,12.69,-129
2,0.000,13.91,-350
3,0.000,13.75,-351